Entry 1:
This record from the Alexandria database describes K8As2H after structural relaxation. The functional is PBE.

It has space group C2/m (No. 12), with a = 21.265 Å, b = 5.569 Å, c = 7.650 Å, α = 90.00°, β = 106.10° and γ = 90.00°. The distinct sites, in fractional coordinates, are K at (0.038, 0.000, 0.283), K at (0.092, 0.500, 0.796), K at (0.181, 0.500, 0.421), K at (0.224, 0.000, 0.121), As at (0.165, 0.000, 0.668) and H at (0.000, 0.500, 0.000).

The calculation puts the total energy at -2.141 eV/atom.

Entry 2:
This record from the Alexandria database describes Rb3Hg5Au6 after structural relaxation. The functional is PBE.

It has space group Pmmn (No. 59, origin choice 2), with a = 4.988 Å, b = 13.908 Å, c = 11.012 Å, α = 90.00°, β = 90.00° and γ = 90.00°. The distinct sites, in fractional coordinates, are Rb at (0.250, 0.070, 0.247), Rb at (0.250, 0.750, 0.254), Hg at (0.250, 0.058, 0.591), Hg at (0.250, 0.600, 0.993), Hg at (0.250, 0.750, 0.782), Au at (0.250, 0.086, 0.853), Au at (0.250, 0.250, 0.005), Au at (0.250, 0.250, 0.486) and Au at (0.250, 0.645, 0.535).

Its formation energy is -2.5 eV/f.u.

Entry 3:
This record from the Alexandria database describes LiZn3AgAu after structural relaxation. The functional is PBE.

It has space group Cmcm (No. 63), with a = 3.678 Å, b = 12.174 Å, c = 8.333 Å, α = 90.00°, β = 90.00° and γ = 90.00°. The distinct sites, in fractional coordinates, are Li at (0.000, 0.008, 0.250), Zn at (0.000, 0.164, 0.502), Zn at (0.000, 0.345, 0.250), Ag at (0.000, 0.320, 0.750) and Au at (0.000, 0.500, 0.000).

Its formation energy is -1.4 eV/f.u.